Record 1
Compound: CeHoMg
Source: Alexandria via LeMat-Bulk
Functional: PBE
Structure: relaxed

Properties
**Offset from the most stable computed form**: 0 meV per atom
**Crystal system**: tetragonal
**Magnetization**: 0.316 μB/atom
**Energy relative to the elements**: 0.0376 eV per atom

Cell and atoms, written as CIF:
```
data_CeHoMg
_cell_length_a 3.3967
_cell_length_b 3.3967
_cell_length_c 14.7430
_cell_angle_alpha 90.00
_cell_angle_beta 90.00
_cell_angle_gamma 90.00
_space_group_name_H-M_alt 'I 4 m m'
_space_group_IT_number 107
_space_group_name_Hall 'I 4 -2'
loop_
_atom_site_label
_atom_site_type_symbol
_atom_site_fract_x
_atom_site_fract_y
_atom_site_fract_z
_atom_site_occupancy
Ce1 Ce 0.0000 0.0000 0.0000 1
Ho1 Ho 0.0000 0.0000 0.6750 1
Mg1 Mg 0.0000 0.0000 0.3342 1
```

Record 2
Compound: CeHoMg
Source: Alexandria via LeMat-Bulk
Functional: PBE
Structure: relaxed

Properties
**Offset from the most stable computed form**: 34 meV per atom
**Crystal system**: trigonal
**Magnetization**: 0.319 μB/atom
**Energy relative to the elements**: 0.0717 eV per atom

Cell and atoms, written as CIF:
```
data_CeHoMg
_cell_length_a 3.3977
_cell_length_b 3.3977
_cell_length_c 8.4964
_cell_angle_alpha 90.00
_cell_angle_beta 90.00
_cell_angle_gamma 120.00
_space_group_name_H-M_alt 'P 3 m 1'
_space_group_IT_number 156
loop_
_space_group_symop_operation_xyz
'x,y,z'
'-y,x-y,z'
'-x+y,-x,z'
'-y,-x,z'
'-x+y,y,z'
'x,x-y,z'
loop_
_atom_site_label
_atom_site_type_symbol
_atom_site_fract_x
_atom_site_fract_y
_atom_site_fract_z
_atom_site_occupancy
Ce1 Ce 0.0000 0.0000 0.0000 1
Ho1 Ho 0.6667 0.3333 0.3382 1
Mg1 Mg 0.3333 0.6667 0.6640 1
```

Record 3
Compound: CeHo2Mg
Source: Alexandria via LeMat-Bulk
Functional: PBE
Structure: relaxed

Properties
**Offset from the most stable computed form**: 73 meV per atom
**Crystal system**: tetragonal
**Magnetization**: 0.386 μB/atom
**Energy relative to the elements**: 0.0787 eV per atom

Cell and atoms, written as CIF:
```
data_CeHo2Mg
_cell_length_a 4.9006
_cell_length_b 4.9006
_cell_length_c 4.8466
_cell_angle_alpha 90.00
_cell_angle_beta 90.00
_cell_angle_gamma 90.00
_space_group_name_H-M_alt 'P 4/m m m'
_space_group_IT_number 123
_space_group_name_Hall '-P 4 2'
loop_
_atom_site_label
_atom_site_type_symbol
_atom_site_fract_x
_atom_site_fract_y
_atom_site_fract_z
_atom_site_occupancy
Ce1 Ce 0.0000 0.0000 0.0000 1
Ho1 Ho 0.0000 0.5000 0.5000 1
Mg1 Mg 0.5000 0.5000 0.0000 1
```

Record 4
Compound: Ce2HoMg
Source: Alexandria via LeMat-Bulk
Functional: PBE
Structure: relaxed

Properties
**Offset from the most stable computed form**: 151 meV per atom
**Crystal system**: trigonal
**Magnetization**: 0.335 μB/atom
**Energy relative to the elements**: 0.2459 eV per atom

Cell and atoms, written as CIF:
```
data_Ce2HoMg
_cell_length_a 3.2650
_cell_length_b 3.2650
_cell_length_c 37.4675
_cell_angle_alpha 90.00
_cell_angle_beta 90.00
_cell_angle_gamma 120.00
_space_group_name_H-M_alt 'R -3 m'
_space_group_IT_number 166
_space_group_name_Hall '-R 3 2"'
loop_
_atom_site_label
_atom_site_type_symbol
_atom_site_fract_x
_atom_site_fract_y
_atom_site_fract_z
_atom_site_occupancy
Ce1 Ce 0.0000 0.0000 0.0881 1
Ho1 Ho 0.0000 0.0000 0.5000 1
Mg1 Mg 0.0000 0.0000 0.0000 1
```

Record 5
Compound: CeHo2Mg
Source: Alexandria via LeMat-Bulk
Functional: PBE
Structure: relaxed

Properties
**Offset from the most stable computed form**: 86 meV per atom
**Crystal system**: cubic
**Magnetization**: 0.356 μB/atom
**Energy relative to the elements**: 0.0919 eV per atom

Cell and atoms, written as CIF:
```
data_CeHo2Mg
_cell_length_a 7.7545
_cell_length_b 7.7545
_cell_length_c 7.7545
_cell_angle_alpha 90.00
_cell_angle_beta 90.00
_cell_angle_gamma 90.00
_space_group_name_H-M_alt 'F -4 3 m'
_space_group_IT_number 216
_space_group_name_Hall 'F -4 2 3'
loop_
_atom_site_label
_atom_site_type_symbol
_atom_site_fract_x
_atom_site_fract_y
_atom_site_fract_z
_atom_site_occupancy
Ce1 Ce 0.0000 0.0000 0.0000 1
Ho1 Ho 0.0000 0.0000 0.5000 1
Ho2 Ho 0.2500 0.2500 0.7500 1
Mg1 Mg 0.2500 0.2500 0.2500 1
```

Record 6
Compound: CeHo3Mg2
Source: Alexandria via LeMat-Bulk
Functional: PBE
Structure: relaxed

Properties
**Crystal system**: tetragonal
**Magnetization**: 0.046 μB/atom
**Energy relative to the elements**: -0.0132 eV per atom

Cell and atoms, written as CIF:
```
data_CeHo3Mg2
_cell_length_a 3.5675
_cell_length_b 3.5675
_cell_length_c 13.1839
_cell_angle_alpha 90.00
_cell_angle_beta 90.00
_cell_angle_gamma 90.00
_space_group_name_H-M_alt 'P 4/m m m'
_space_group_IT_number 123
_space_group_name_Hall '-P 4 2'
loop_
_atom_site_label
_atom_site_type_symbol
_atom_site_fract_x
_atom_site_fract_y
_atom_site_fract_z
_atom_site_occupancy
Ce1 Ce 0.0000 0.0000 0.0000 1
Ho1 Ho 0.5000 0.5000 0.1792 1
Ho2 Ho 0.5000 0.5000 0.5000 1
Mg1 Mg 0.0000 0.0000 0.3407 1
```

Record 7
Compound: CeHoMg4
Source: Alexandria via LeMat-Bulk
Functional: PBE
Structure: relaxed

Properties
**Crystal system**: cubic
**Magnetization**: 0.179 μB/atom
**Energy relative to the elements**: -0.0230 eV per atom

Cell and atoms, written as CIF:
```
data_CeHoMg4
_cell_length_a 8.5401
_cell_length_b 8.5401
_cell_length_c 8.5401
_cell_angle_alpha 90.00
_cell_angle_beta 90.00
_cell_angle_gamma 90.00
_space_group_name_H-M_alt 'F -4 3 m'
_space_group_IT_number 216
_space_group_name_Hall 'F -4 2 3'
loop_
_atom_site_label
_atom_site_type_symbol
_atom_site_fract_x
_atom_site_fract_y
_atom_site_fract_z
_atom_site_occupancy
Ce1 Ce 0.0000 0.0000 0.0000 1
Ho1 Ho 0.2500 0.2500 0.7500 1
Mg1 Mg 0.1248 0.1248 0.3752 1
```

Record 8
Compound: CeHo2Mg
Source: Alexandria via LeMat-Bulk
Functional: PBE
Structure: relaxed

Properties
**Offset from the most stable computed form**: 0 meV per atom
**Crystal system**: tetragonal
**Magnetization**: 0.048 μB/atom
**Energy relative to the elements**: 0.0061 eV per atom

Cell and atoms, written as CIF:
```
data_CeHo2Mg
_cell_length_a 3.5029
_cell_length_b 3.5029
_cell_length_c 9.2696
_cell_angle_alpha 90.00
_cell_angle_beta 90.00
_cell_angle_gamma 90.00
_space_group_name_H-M_alt 'P 4/m m m'
_space_group_IT_number 123
_space_group_name_Hall '-P 4 2'
loop_
_atom_site_label
_atom_site_type_symbol
_atom_site_fract_x
_atom_site_fract_y
_atom_site_fract_z
_atom_site_occupancy
Ce1 Ce 0.0000 0.0000 0.0000 1
Ho1 Ho 0.5000 0.5000 0.2569 1
Mg1 Mg 0.0000 0.0000 0.5000 1
```